[1]
A plane-wave DFT calculation with PBE-GGA was carried out for a relaxed Sc2ReOs crystal.

Calculated values
Calculated density in g cm⁻³: 11.2
DOS at the Fermi energy in states/eV/cell: 3.36
Space-group type: Imm2, No. 44
Total moment in μB/f.u.: 0.00
E_form in meV/atom: -226

a b c (Å): 5.5533 5.5533 4.5380
angles (deg): 65.87 65.87 33.02
Positions (direct):
Os (0.5143, 0.5143, 0.4857)
Re (0.2339, 0.2339, 0.2660)
Sc (0.9886, 0.9886, 0.0114)
Sc (0.7632, 0.7632, 0.7368)

[2]
A plane-wave DFT calculation with PBE-GGA was carried out for a relaxed ScRe2Os crystal.

Calculated values
Calculated density in g cm⁻³: 16.2
DOS at the Fermi energy in states/eV/cell: 3.13
Space-group type: P4/mmm, No. 123
Total moment in μB/f.u.: 0.00
E_form in meV/atom: 130

a b c (Å): 4.5377 4.5377 3.0276
angles (deg): 90.00 90.00 90.00
Positions (direct):
Os (0.0000, 0.5000, 0.5000)
Re (0.0000, 0.0000, 0.0000)
Re (0.5000, 0.5000, 0.0000)
Sc (0.5000, 0.0000, 0.5000)